Ac2MnAuO6: relaxed, PBE with a Hubbard U.

E   -6.850 eV per atom
Volume   141 Å³ per cell
Crystal system   tetragonal

Structure (CIF):
```
data_Ac2MnAuO6
_chemical_formula_sum 'Ac2 Mn1 Au1 O6'
_cell_length_a 5.785
_cell_length_b 5.785
_cell_length_c 4.216
_cell_angle_alpha 90.00
_cell_angle_beta 90.00
_cell_angle_gamma 90.00
_symmetry_space_group_name_H-M 'P 4 m m'
_symmetry_Int_Tables_number 99
loop_
_symmetry_equiv_pos_as_xyz
'x,y,z'
'-y,x,z'
'-x,-y,z'
'y,-x,z'
'-x,y,z'
'y,x,z'
'x,-y,z'
'-y,-x,z'
loop_
_atom_site_label
_atom_site_type_symbol
_atom_site_fract_x
_atom_site_fract_y
_atom_site_fract_z
_atom_site_occupancy
Ac1 Ac 0.000 0.500 0.000 1
Mn1 Mn 0.000 0.000 0.550 1
Au1 Au 0.500 0.500 0.546 1
O1 O 0.000 0.000 0.061 1
O2 O 0.238 0.238 0.583 1
O3 O 0.500 0.500 0.048 1
```